# PBE with a Hubbard U La2Te3MoO12, optimized geometry
data_La2Te3MoO12
_cell_length_a 7.486
_cell_length_b 11.824
_cell_length_c 13.704
_cell_angle_alpha 90.00
_cell_angle_beta 90.00
_cell_angle_gamma 90.00
_space_group_name_H-M_alt 'P 1'
_space_group_IT_number 1
loop_
_space_group_symop_operation_xyz
'x,y,z'
loop_
_atom_site_label
_atom_site_type_symbol
_atom_site_fract_x
_atom_site_fract_y
_atom_site_fract_z
La1 La 0.408 0.416 0.870
La2 La 0.592 0.916 0.130
La3 La 0.408 0.084 0.870
La4 La 0.908 0.416 0.630
La5 La 0.908 0.084 0.630
La6 La 0.592 0.584 0.130
La7 La 0.092 0.584 0.370
La8 La 0.092 0.916 0.370
Te1 Te 0.345 0.956 0.621
Te2 Te 0.531 0.750 0.380
Te3 Te 0.655 0.456 0.379
Te4 Te 0.845 0.956 0.879
Te5 Te 0.345 0.544 0.621
Te6 Te 0.031 0.750 0.120
Te7 Te 0.969 0.250 0.880
Te8 Te 0.155 0.456 0.121
Te9 Te 0.469 0.250 0.620
Te10 Te 0.155 0.044 0.121
Te11 Te 0.655 0.044 0.379
Te12 Te 0.845 0.544 0.879
Mo1 Mo 0.351 0.750 0.904
Mo2 Mo 0.851 0.750 0.596
Mo3 Mo 0.649 0.250 0.096
Mo4 Mo 0.149 0.250 0.404
O1 O 0.173 0.501 0.528
O2 O 0.173 0.999 0.528
O3 O 0.054 0.250 0.527
O4 O 0.229 0.457 0.719
O5 O 0.216 0.250 0.911
O6 O 0.921 0.874 0.662
O7 O 0.784 0.750 0.089
O8 O 0.079 0.374 0.338
O9 O 0.615 0.750 0.583
O10 O 0.673 0.999 0.972
O11 O 0.474 0.931 0.402
O12 O 0.729 0.457 0.781
O13 O 0.526 0.069 0.598
O14 O 0.729 0.043 0.781
O15 O 0.673 0.501 0.972
O16 O 0.554 0.250 0.973
O17 O 0.327 0.001 0.028
O18 O 0.771 0.957 0.281
O19 O 0.487 0.250 0.758
O20 O 0.271 0.957 0.219
O21 O 0.229 0.043 0.719
O22 O 0.716 0.250 0.589
O23 O 0.446 0.750 0.027
O24 O 0.526 0.431 0.598
O25 O 0.026 0.069 0.902
O26 O 0.115 0.750 0.917
O27 O 0.579 0.374 0.162
O28 O 0.827 0.001 0.472
O29 O 0.079 0.126 0.338
O30 O 0.921 0.626 0.662
O31 O 0.421 0.874 0.838
O32 O 0.474 0.569 0.402
O33 O 0.513 0.750 0.242
O34 O 0.327 0.499 0.028
O35 O 0.284 0.750 0.411
O36 O 0.271 0.543 0.219
O37 O 0.385 0.250 0.417
O38 O 0.579 0.126 0.162
O39 O 0.885 0.250 0.083
O40 O 0.771 0.543 0.281
O41 O 0.974 0.569 0.098
O42 O 0.974 0.931 0.098
O43 O 0.421 0.626 0.838
O44 O 0.013 0.750 0.258
O45 O 0.946 0.750 0.473
O46 O 0.827 0.499 0.472
O47 O 0.026 0.431 0.902
O48 O 0.987 0.250 0.742
# Volume   16.847 A^3/atom
# N(E_F)   0.00 states/eV/f.u.
# Total DFT energy (no corrections)   -6.72 eV/atom
# SG   No. 62